(1)
Computed, not measured: ScIn2Pb at its PBEsol-relaxed geometry at the meta-GGA SCAN level of DFT.

abc: 5.956 5.956 5.371
angles: 113.70 113.70 33.71
Atoms (fractional coordinates):
Sc 0.000 0.000 0.000
In 0.261 0.261 0.594
In 0.509 0.509 0.482
Pb 0.746 0.746 0.081


(2)
Computed, not measured: ScIn2Pb at its PBEsol-relaxed geometry at the meta-GGA SCAN level of DFT.

abc: 4.382 4.382 4.866
angles: 90.00 90.00 90.00
Atoms (fractional coordinates):
Sc 0.000 0.000 0.000
In 0.000 0.500 0.500
In 0.500 0.000 0.500
Pb 0.500 0.500 0.000


Number 1: D(E_F) 2.0 states/eV/f.u., calculated formation energy -267 meV/atom. Number 2: D(E_F) 1.8 states/eV/f.u., calculated formation energy -335 meV/atom.